Below is an optimized crystal structure of ScCoO3, with properties calculated at the PBE+U level.

Cell lengths 3.6275, 3.6275, 3.6275 Å; angles 90.00, 90.00, 90.00 degrees
Last column: nearest neighbours and their distance in Å.
Fractional coordinates of all 5 atoms:
Co  0.5000  0.5000  0.5000  6 O 1.81
O  0.5000  0.5000  0.0000  2 Co 1.81
O  0.5000  0.0000  0.5000  2 Co 1.81
O  0.0000  0.5000  0.5000  2 Co 1.81
Sc  0.0000  0.0000  0.0000  12 O 2.56-2.57

Output
Total magnetization = 0.0 Bohr magnetons per cell
VASP energy = -6.923 eV per atom
Space-group type = Pm-3m (221)
Theoretical density = 5.3 g/cm3